## ScVAgF6 (PBE with a Hubbard U)

Data for a relaxed structure of ScVAgF6.

Properties
**VASP energy**: -5.935 eV/atom

```
data_ScVAgF6
_cell_length_a 5.6029
_cell_length_b 5.6029
_cell_length_c 10.2481
_cell_angle_alpha 90.00
_cell_angle_beta 90.00
_cell_angle_gamma 120.00
_space_group_name_H-M_alt 'P -3 1 c'
_space_group_IT_number 163
_space_group_name_Hall '-P 3 2c'
loop_
_atom_site_label
_atom_site_type_symbol
_atom_site_fract_x
_atom_site_fract_y
_atom_site_fract_z
Sc1 Sc 0.3333 0.6667 0.2500
V1 V 0.3333 0.6667 0.7500
Ag1 Ag 0.0000 0.0000 0.0000
F1 F 0.0110 0.3717 0.1438
```